Record 1
This record from Alexandria via LeMat-Bulk describes a PBEsol-optimized structure of AlAg2Ir. The functional is meta-GGA SCAN.

Results
As for the density of states at the Fermi level: 0.27 states/eV per atom. For the formation enthalpy at 0 K, the calculation gives -0.4 eV per formula unit. The volume comes out at 121 Å³/cell. Its space group is I-4m2 (119).

```
AlAg2Ir
1.0
4.131 0.000 0.000
0.000 4.131 0.000
0.000 0.000 7.091
Al Ag Ir
2 4 2
Direct
0.000 0.000 0.000 Al
0.500 0.500 0.500 Al
0.000 0.000 0.500 Ag
0.000 0.500 0.750 Ag
0.500 0.000 0.250 Ag
0.500 0.500 0.000 Ag
0.000 0.500 0.250 Ir
0.500 0.000 0.750 Ir
```

=====

Record 2
This record from Alexandria via LeMat-Bulk describes a PBEsol-optimized structure of PuTeSO7. The functional is meta-GGA SCAN.

Results
The volume comes out at 522 Å³/cell. Its space group is P2_1/c (14). The uncorrected formation energy is -1979 meV/atom.

```
PuTeSO7
1.0
7.536 0.000 0.000
0.000 13.418 0.000
-1.870 0.000 5.160
Pu Te S O
4 4 4 28
Direct
0.081 0.131 0.412 Pu
0.081 0.369 0.912 Pu
0.919 0.631 0.088 Pu
0.919 0.869 0.588 Pu
0.247 0.628 0.782 Te
0.247 0.872 0.282 Te
0.753 0.128 0.718 Te
0.753 0.372 0.218 Te
0.375 0.137 0.108 S
0.375 0.363 0.608 S
0.625 0.637 0.392 S
0.625 0.863 0.892 S
0.075 0.723 0.836 O
0.075 0.777 0.336 O
0.085 0.584 0.454 O
0.085 0.916 0.954 O
0.134 0.542 0.965 O
0.134 0.958 0.465 O
0.243 0.217 0.141 O
0.243 0.283 0.641 O
0.310 0.098 0.842 O
0.310 0.402 0.342 O
0.357 0.060 0.297 O
0.357 0.440 0.797 O
0.432 0.675 0.315 O
0.432 0.825 0.815 O
0.568 0.175 0.185 O
0.568 0.325 0.685 O
0.643 0.560 0.203 O
0.643 0.940 0.703 O
0.690 0.598 0.658 O
0.690 0.902 0.158 O
0.757 0.717 0.359 O
0.757 0.783 0.859 O
0.866 0.042 0.535 O
0.866 0.458 0.035 O
0.915 0.084 0.046 O
0.915 0.416 0.546 O
0.925 0.223 0.664 O
0.925 0.277 0.164 O
```

=====

Record 3
This record from Alexandria via LeMat-Bulk describes a PBEsol-optimized structure of As2WSe. The functional is meta-GGA SCAN.

Results
As for the density of states at the Fermi level: 0.43 states/eV per atom. The volume comes out at 68 Å³/cell. Its space group is P4/mmm (123). The uncorrected formation energy is 325 meV/atom.

```
As2WSe
1.0
3.212 0.000 0.000
0.000 3.212 0.000
0.000 0.000 6.542
As W Se
2 1 1
Direct
0.000 0.000 0.216 As
0.000 0.000 0.784 As
0.500 0.500 0.000 W
0.500 0.500 0.500 Se
```

=====

Q: Look up the volume of the third one.
A: 68 Å³/cell

=====

What did the first record say?
This record from Alexandria via LeMat-Bulk describes a PBEsol-optimized structure of AlAg2Ir. The functional is meta-GGA SCAN.

Results
As for the density of states at the Fermi level: 0.27 states/eV per atom. For the formation enthalpy at 0 K, the calculation gives -0.4 eV per formula unit. The volume comes out at 121 Å³/cell. Its space group is I-4m2 (119).

```
AlAg2Ir
1.0
4.131 0.000 0.000
0.000 4.131 0.000
0.000 0.000 7.091
Al Ag Ir
2 4 2
Direct
0.000 0.000 0.000 Al
0.500 0.500 0.500 Al
0.000 0.000 0.500 Ag
0.000 0.500 0.750 Ag
0.500 0.000 0.250 Ag
0.500 0.500 0.000 Ag
0.000 0.500 0.250 Ir
0.500 0.000 0.750 Ir
```

=====

Q: Look up the volume of the first one.
A: 121 Å³/cell

=====

Q: Which of these has the lowest volume?
A: As2WSe